The following is a GGA+U calculation of a relaxed structure of Dy3CoO6, from Alexandria.

Cell lengths 9.4570, 9.4570, 10.6675 Å; angles 90.00, 90.00, 120.00 degrees
Space group R-3 (No. 148, hexagonal axes)
Asymmetric unit:
Dy: 0.0432 0.2667 0.1999 x18
Co: 0.0000 0.0000 0.0000 x3
Co: 0.0000 0.0000 0.5000 x3
O: 0.0285 0.1856 0.8855 x18
O: 0.0289 0.2050 0.4033 x18

Results
Uncorrected energy ... -77.36 eV per formula unit
Excess energy over the best structure of this formula in the dataset ... 0.576 eV per formula unit
Spin magnetization ... 4.036 μB/f.u.